1.
# PBE-GGA Sm3AgPb, optimized geometry
data_Sm3AgPb
_cell_length_a 4.711
_cell_length_b 24.404
_cell_length_c 4.969
_cell_angle_alpha 90.00
_cell_angle_beta 90.00
_cell_angle_gamma 90.00
_space_group_name_H-M_alt 'C m c m'
_space_group_IT_number 63
_space_group_name_Hall '-C 2c 2'
loop_
_atom_site_label
_atom_site_type_symbol
_atom_site_fract_x
_atom_site_fract_y
_atom_site_fract_z
Sm1 Sm 0.000 0.049 0.250
Sm2 Sm 0.000 0.160 0.750
Sm3 Sm 0.000 0.332 0.750
Ag1 Ag 0.000 0.252 0.250
Pb1 Pb 0.000 0.435 0.250
# volume	28.6	Å³/atom
# E_tot	-4.452	eV per atom

---

2.
# PBE-GGA Ac6RuAu2I3, optimized geometry
data_Ac6RuAu2I3
_cell_length_a 7.833
_cell_length_b 13.561
_cell_length_c 9.016
_cell_angle_alpha 90.00
_cell_angle_beta 106.84
_cell_angle_gamma 90.00
_space_group_name_H-M_alt 'C 1 2/m 1'
_space_group_IT_number 12
_space_group_name_Hall '-C 2y'
loop_
_atom_site_label
_atom_site_type_symbol
_atom_site_fract_x
_atom_site_fract_y
_atom_site_fract_z
Ac1 Ac 0.220 0.157 0.190
Ac2 Ac 0.250 0.000 0.810
Ru1 Ru 0.000 0.000 0.000
Au1 Au 0.000 0.333 0.000
I1 I 0.000 0.166 0.500
I2 I 0.000 0.500 0.500
# volume	38.2	Å³/atom
# E_form (uncorrected)	-10.91	eV per formula unit

---

3.
# PBE-GGA NaSr2Cd2Pd5, optimized geometry
data_NaSr2Cd2Pd5
_cell_length_a 10.353
_cell_length_b 10.353
_cell_length_c 4.083
_cell_angle_alpha 90.00
_cell_angle_beta 90.00
_cell_angle_gamma 90.00
_space_group_name_H-M_alt 'P 4/m b m'
_space_group_IT_number 127
_space_group_name_Hall '-P 4 2ab'
loop_
_atom_site_label
_atom_site_type_symbol
_atom_site_fract_x
_atom_site_fract_y
_atom_site_fract_z
Na1 Na 0.000 0.000 0.000
Sr1 Sr 0.177 0.323 0.000
Cd1 Cd 0.121 0.621 0.000
Pd1 Pd 0.000 0.500 0.500
Pd2 Pd 0.061 0.795 0.500
# volume	21.9	Å³/atom
# E_tot	-3.583	eV per atom

---

4.
# PBE-GGA YZnSi, optimized geometry
data_YZnSi
_cell_length_a 4.144
_cell_length_b 15.582
_cell_length_c 3.797
_cell_angle_alpha 90.00
_cell_angle_beta 90.00
_cell_angle_gamma 90.00
_space_group_name_H-M_alt 'C m c m'
_space_group_IT_number 63
_space_group_name_Hall '-C 2c 2'
loop_
_atom_site_label
_atom_site_type_symbol
_atom_site_fract_x
_atom_site_fract_y
_atom_site_fract_z
Y1 Y 0.000 0.098 0.250
Zn1 Zn 0.000 0.287 0.250
Si1 Si 0.000 0.452 0.250
# volume	20.4	Å³/atom
# E_form (uncorrected)	-1.38	eV per formula unit

---

5.
# PBE-GGA Be2Pt, optimized geometry
data_Be2Pt
_cell_length_a 4.185
_cell_length_b 7.438
_cell_length_c 4.155
_cell_angle_alpha 90.00
_cell_angle_beta 98.13
_cell_angle_gamma 90.00
_space_group_name_H-M_alt 'C 1 2/m 1'
_space_group_IT_number 12
_space_group_name_Hall '-C 2y'
loop_
_atom_site_label
_atom_site_type_symbol
_atom_site_fract_x
_atom_site_fract_y
_atom_site_fract_z
Be1 Be 0.224 0.169 0.241
Pt1 Pt 0.234 0.500 0.262
# volume	10.7	Å³/atom
# energy above the lowest structure with this stoichiometry	0.294	eV per formula unit

---

6.
# PBE-GGA Rb2ScPdBr6, optimized geometry
data_Rb2ScPdBr6
_cell_length_a 7.727
_cell_length_b 7.727
_cell_length_c 10.788
_cell_angle_alpha 90.00
_cell_angle_beta 90.00
_cell_angle_gamma 90.00
_space_group_name_H-M_alt 'I 4/m m m'
_space_group_IT_number 139
_space_group_name_Hall '-I 4 2'
loop_
_atom_site_label
_atom_site_type_symbol
_atom_site_fract_x
_atom_site_fract_y
_atom_site_fract_z
Rb1 Rb 0.000 0.500 0.250
Sc1 Sc 0.000 0.000 0.000
Pd1 Pd 0.000 0.000 0.500
Br1 Br 0.000 0.000 0.248
Br2 Br 0.244 0.244 0.000
# volume	32.2	Å³/atom
# E_form (uncorrected)	-13.41	eV per formula unit

---

Number 1: N(E_F) 26.144 states/eV per cell. Number 2: N(E_F) 14.549 states/eV per cell. Number 3: N(E_F) 7.287 states/eV per cell. Number 4: N(E_F) 5.818 states/eV per cell. Number 5: N(E_F) 2.654 states/eV per cell. Number 6: N(E_F) 10.157 states/eV per cell.